A plane-wave DFT calculation with PBE-GGA was carried out for CoCuPt2 after structural relaxation.

Energy of formation: -0.05 eV per atom

CIF file:
```
data_CoCuPt2
_chemical_formula_sum 'Co1 Cu1 Pt2'
_cell_length_a 2.695
_cell_length_b 4.116
_cell_length_c 5.144
_cell_angle_alpha 90.00
_cell_angle_beta 104.87
_cell_angle_gamma 90.00
_space_group_name_H-M_alt 'P 1 m 1'
_space_group_IT_number 6
_space_group_name_Hall 'P -2y'
loop_
_atom_site_label
_atom_site_type_symbol
_atom_site_fract_x
_atom_site_fract_y
_atom_site_fract_z
_atom_site_occupancy
Co1 Co 0.000 0.000 0.000 1
Cu1 Cu 0.144 0.500 0.277 1
Pt1 Pt 0.404 0.500 0.804 1
Pt2 Pt 0.740 0.000 0.478 1
```

A plane-wave DFT calculation with PBE-GGA was carried out for TlCoAsCl6 after structural relaxation.

Formation energy (no corrections): -0.69 eV per atom

CIF file:
```
data_TlCoAsCl6
_chemical_formula_sum 'Tl2 Co2 As2 Cl12'
_cell_length_a 6.481
_cell_length_b 11.232
_cell_length_c 7.174
_cell_angle_alpha 90.00
_cell_angle_beta 90.29
_cell_angle_gamma 90.00
_space_group_name_H-M_alt 'C 1 2 1'
_space_group_IT_number 5
_space_group_name_Hall 'C 2y'
loop_
_atom_site_label
_atom_site_type_symbol
_atom_site_fract_x
_atom_site_fract_y
_atom_site_fract_z
_atom_site_occupancy
Tl1 Tl 0.000 0.000 0.000 1
Co1 Co 0.000 0.667 0.500 1
As1 As 0.000 0.333 0.500 1
Cl1 Cl 0.124 0.503 0.698 1
Cl2 Cl 0.180 0.811 0.696 1
Cl3 Cl 0.194 0.183 0.697 1
```

A plane-wave DFT calculation with PBE-GGA was carried out for YAg2Rh after structural relaxation.

Energy of formation: -0.17 eV per atom

CIF file:
```
data_YAg2Rh
_chemical_formula_sum 'Y1 Ag2 Rh1'
_cell_length_a 3.353
_cell_length_b 4.145
_cell_length_c 5.571
_cell_angle_alpha 90.00
_cell_angle_beta 90.00
_cell_angle_gamma 90.00
_space_group_name_H-M_alt 'P m m m'
_space_group_IT_number 47
_space_group_name_Hall '-P 2 2'
loop_
_atom_site_label
_atom_site_type_symbol
_atom_site_fract_x
_atom_site_fract_y
_atom_site_fract_z
_atom_site_occupancy
Y1 Y 0.000 0.000 0.000 1
Ag1 Ag 0.500 0.500 0.262 1
Rh1 Rh 0.000 0.000 0.500 1
```

A plane-wave DFT calculation with PBE-GGA was carried out for AcTb4PmS8 after structural relaxation.

Formation energy (no corrections): -1.93 eV per atom

CIF file:
```
data_AcTb4PmS8
_chemical_formula_sum 'Ac3 Tb12 Pm3 S24'
_cell_length_a 8.2106
_cell_length_b 8.2106
_cell_length_c 20.2781
_cell_angle_alpha 90.00
_cell_angle_beta 90.00
_cell_angle_gamma 120.00
_space_group_name_H-M_alt 'R 3 m'
_space_group_IT_number 160
_space_group_name_Hall 'R 3 -2"'
loop_
_atom_site_label
_atom_site_type_symbol
_atom_site_fract_x
_atom_site_fract_y
_atom_site_fract_z
_atom_site_occupancy
Ac1 Ac 0.0000 0.0000 0.0000 1
Tb1 Tb 0.0000 0.0000 0.2515 1
Tb2 Tb 0.0057 0.5028 0.1266 1
Pm1 Pm 0.0000 0.0000 0.6234 1
S1 S 0.0000 0.0000 0.3827 1
S2 S 0.0000 0.0000 0.8605 1
S3 S 0.0359 0.5180 0.3826 1
S4 S 0.1726 0.3453 0.2047 1
```

A plane-wave DFT calculation with PBE-GGA was carried out for Tm2ThV after structural relaxation.

Energy of formation: 0.42 eV per atom

CIF file:
```
data_Tm2ThV
_chemical_formula_sum 'Tm6 Th3 V3'
_cell_length_a 5.1943
_cell_length_b 5.1943
_cell_length_c 13.5623
_cell_angle_alpha 90.00
_cell_angle_beta 90.00
_cell_angle_gamma 120.00
_space_group_name_H-M_alt 'R -3 m'
_space_group_IT_number 166
_space_group_name_Hall '-R 3 2"'
loop_
_atom_site_label
_atom_site_type_symbol
_atom_site_fract_x
_atom_site_fract_y
_atom_site_fract_z
_atom_site_occupancy
Tm1 Tm 0.0000 0.0000 0.2417 1
Th1 Th 0.0000 0.0000 0.0000 1
V1 V 0.0000 0.0000 0.5000 1
```

A plane-wave DFT calculation with PBE-GGA was carried out for La2PrTh after structural relaxation.

Energy of formation: 0.05 eV per atom

CIF file:
```
data_La2PrTh
_chemical_formula_sum 'La4 Pr2 Th2'
_cell_length_a 6.368
_cell_length_b 3.671
_cell_length_c 12.324
_cell_angle_alpha 90.00
_cell_angle_beta 99.99
_cell_angle_gamma 90.00
_space_group_name_H-M_alt 'C 1 m 1'
_space_group_IT_number 8
_space_group_name_Hall 'C -2y'
loop_
_atom_site_label
_atom_site_type_symbol
_atom_site_fract_x
_atom_site_fract_y
_atom_site_fract_z
_atom_site_occupancy
La1 La 0.000 0.000 0.000 1
La2 La 0.163 0.000 0.489 1
Pr1 Pr 0.081 0.500 0.748 1
Th1 Th 0.414 0.000 0.246 1
```

A plane-wave DFT calculation with PBE-GGA was carried out for B2Ru2W after structural relaxation.

Energy of formation: -0.08 eV per atom

CIF file:
```
data_B2Ru2W
_chemical_formula_sum 'B4 Ru4 W2'
_cell_length_a 6.313
_cell_length_b 6.313
_cell_length_c 2.786
_cell_angle_alpha 90.00
_cell_angle_beta 90.00
_cell_angle_gamma 90.00
_space_group_name_H-M_alt 'P 4/m b m'
_space_group_IT_number 127
_space_group_name_Hall '-P 4 2ab'
loop_
_atom_site_label
_atom_site_type_symbol
_atom_site_fract_x
_atom_site_fract_y
_atom_site_fract_z
_atom_site_occupancy
B1 B 0.148 0.352 0.000 1
Ru1 Ru 0.150 0.650 0.500 1
W1 W 0.000 0.000 0.000 1
```

A plane-wave DFT calculation with PBE-GGA was carried out for SrZnPO4 after structural relaxation.

Formation energy (no corrections): -1.82 eV per atom

CIF file:
```
data_SrZnPO4
_chemical_formula_sum 'Sr4 Zn4 P4 O16'
_cell_length_a 8.086
_cell_length_b 8.086
_cell_length_c 8.086
_cell_angle_alpha 90.00
_cell_angle_beta 90.00
_cell_angle_gamma 90.00
_space_group_name_H-M_alt 'F -4 3 m'
_space_group_IT_number 216
_space_group_name_Hall 'F -4 2 3'
loop_
_atom_site_label
_atom_site_type_symbol
_atom_site_fract_x
_atom_site_fract_y
_atom_site_fract_z
_atom_site_occupancy
Sr1 Sr 0.000 0.000 0.000 1
Zn1 Zn 0.250 0.250 0.250 1
P1 P 0.000 0.000 0.500 1
O1 O 0.111 0.111 0.389 1
```

A plane-wave DFT calculation with PBE-GGA was carried out for YHRh2Au after structural relaxation.

CIF file:
```
data_YHRh2Au
_chemical_formula_sum 'Y1 H1 Rh2 Au1'
_cell_length_a 4.099
_cell_length_b 4.099
_cell_length_c 4.322
_cell_angle_alpha 90.00
_cell_angle_beta 90.00
_cell_angle_gamma 90.00
_space_group_name_H-M_alt 'P 4/m m m'
_space_group_IT_number 123
_space_group_name_Hall '-P 4 2'
loop_
_atom_site_label
_atom_site_type_symbol
_atom_site_fract_x
_atom_site_fract_y
_atom_site_fract_z
_atom_site_occupancy
Y1 Y 0.000 0.000 0.000 1
H1 H 0.000 0.000 0.500 1
Rh1 Rh 0.000 0.500 0.500 1
Au1 Au 0.500 0.500 0.000 1
```

A plane-wave DFT calculation with PBE-GGA was carried out for ScCdTc after structural relaxation.

Energy of formation: 0.08 eV per atom

CIF file:
```
data_ScCdTc
_chemical_formula_sum 'Sc2 Cd2 Tc2'
_cell_length_a 2.922
_cell_length_b 4.156
_cell_length_c 9.135
_cell_angle_alpha 90.00
_cell_angle_beta 90.00
_cell_angle_gamma 90.00
_space_group_name_H-M_alt 'I m m 2'
_space_group_IT_number 44
_space_group_name_Hall 'I 2 -2'
loop_
_atom_site_label
_atom_site_type_symbol
_atom_site_fract_x
_atom_site_fract_y
_atom_site_fract_z
_atom_site_occupancy
Sc1 Sc 0.000 0.000 0.000 1
Cd1 Cd 0.000 0.000 0.682 1
Tc1 Tc 0.000 0.000 0.349 1
```

A plane-wave DFT calculation with PBE-GGA was carried out for La3SnRh3 after structural relaxation.

Energy of formation: -0.77 eV per atom

CIF file:
```
data_La3SnRh3
_chemical_formula_sum 'La12 Sn4 Rh12'
_cell_length_a 4.559
_cell_length_b 10.614
_cell_length_c 13.757
_cell_angle_alpha 90.00
_cell_angle_beta 90.00
_cell_angle_gamma 90.00
_space_group_name_H-M_alt 'C m c m'
_space_group_IT_number 63
_space_group_name_Hall '-C 2c 2'
loop_
_atom_site_label
_atom_site_type_symbol
_atom_site_fract_x
_atom_site_fract_y
_atom_site_fract_z
_atom_site_occupancy
La1 La 0.000 0.018 0.250 1
La2 La 0.000 0.298 0.104 1
Sn1 Sn 0.000 0.000 0.000 1
Rh1 Rh 0.000 0.250 0.750 1
Rh2 Rh 0.000 0.413 0.591 1
```

A plane-wave DFT calculation with PBE-GGA was carried out for Se5Cl4 after structural relaxation.

Formation energy (no corrections): -0.09 eV per atom

CIF file:
```
data_Se5Cl4
_chemical_formula_sum 'Se10 Cl8'
_cell_length_a 13.527
_cell_length_b 13.527
_cell_length_c 3.586
_cell_angle_alpha 90.00
_cell_angle_beta 90.00
_cell_angle_gamma 90.00
_space_group_name_H-M_alt 'I 4/m m m'
_space_group_IT_number 139
_space_group_name_Hall '-I 4 2'
loop_
_atom_site_label
_atom_site_type_symbol
_atom_site_fract_x
_atom_site_fract_y
_atom_site_fract_z
_atom_site_occupancy
Se1 Se 0.000 0.000 0.000 1
Se2 Se 0.209 0.209 0.500 1
Cl1 Cl 0.000 0.179 0.000 1
```

A plane-wave DFT calculation with PBE-GGA was carried out for TcPbCl2 after structural relaxation.

Formation energy (no corrections): 0.13 eV per atom

CIF file:
```
data_TcPbCl2
_chemical_formula_sum 'Tc2 Pb2 Cl4'
_cell_length_a 3.296
_cell_length_b 4.799
_cell_length_c 12.547
_cell_angle_alpha 90.00
_cell_angle_beta 90.00
_cell_angle_gamma 90.00
_space_group_name_H-M_alt 'I m m 2'
_space_group_IT_number 44
_space_group_name_Hall 'I 2 -2'
loop_
_atom_site_label
_atom_site_type_symbol
_atom_site_fract_x
_atom_site_fract_y
_atom_site_fract_z
_atom_site_occupancy
Tc1 Tc 0.000 0.000 0.000 1
Pb1 Pb 0.000 0.500 0.698 1
Cl1 Cl 0.000 0.000 0.548 1
Cl2 Cl 0.000 0.500 0.341 1
```

A plane-wave DFT calculation with PBE-GGA was carried out for CaMo2Br after structural relaxation.

Formation energy (no corrections): 1.04 eV per atom

CIF file:
```
data_CaMo2Br
_chemical_formula_sum 'Ca1 Mo2 Br1'
_cell_length_a 2.942
_cell_length_b 2.942
_cell_length_c 9.128
_cell_angle_alpha 90.00
_cell_angle_beta 90.00
_cell_angle_gamma 90.00
_space_group_name_H-M_alt 'P 4/m m m'
_space_group_IT_number 123
_space_group_name_Hall '-P 4 2'
loop_
_atom_site_label
_atom_site_type_symbol
_atom_site_fract_x
_atom_site_fract_y
_atom_site_fract_z
_atom_site_occupancy
Ca1 Ca 0.000 0.000 0.000 1
Mo1 Mo 0.500 0.500 0.282 1
Br1 Br 0.000 0.000 0.500 1
```

A plane-wave DFT calculation with PBE-GGA was carried out for Ce2Cd3Au4 after structural relaxation.

Energy of formation: -0.41 eV per atom

CIF file:
```
data_Ce2Cd3Au4
_chemical_formula_sum 'Ce8 Cd12 Au16'
_cell_length_a 6.105
_cell_length_b 16.120
_cell_length_c 8.503
_cell_angle_alpha 90.00
_cell_angle_beta 90.00
_cell_angle_gamma 90.00
_space_group_name_H-M_alt 'C m c e'
_space_group_IT_number 64
_space_group_name_Hall '-C 2ac 2'
loop_
_atom_site_label
_atom_site_type_symbol
_atom_site_fract_x
_atom_site_fract_y
_atom_site_fract_z
_atom_site_occupancy
Ce1 Ce 0.000 0.116 0.084 1
Cd1 Cd 0.000 0.000 0.500 1
Cd2 Cd 0.250 0.214 0.750 1
Au1 Au 0.000 0.182 0.458 1
Au2 Au 0.250 0.040 0.750 1
```

A plane-wave DFT calculation with PBE-GGA was carried out for Hf2Zr4ScTi after structural relaxation.

Energy of formation: 0.06 eV per atom

CIF file:
```
data_Hf2Zr4ScTi
_chemical_formula_sum 'Hf2 Zr4 Sc1 Ti1'
_cell_length_a 4.476
_cell_length_b 4.468
_cell_length_c 8.910
_cell_angle_alpha 90.00
_cell_angle_beta 90.10
_cell_angle_gamma 90.00
_space_group_name_H-M_alt 'P 1 2/m 1'
_space_group_IT_number 10
_space_group_name_Hall '-P 2y'
loop_
_atom_site_label
_atom_site_type_symbol
_atom_site_fract_x
_atom_site_fract_y
_atom_site_fract_z
_atom_site_occupancy
Hf1 Hf 0.000 0.000 0.000 1
Hf2 Hf 0.500 0.500 0.500 1
Zr1 Zr 0.000 0.500 0.243 1
Zr2 Zr 0.500 0.000 0.243 1
Sc1 Sc 0.000 0.000 0.500 1
Ti1 Ti 0.500 0.500 0.000 1
```

A plane-wave DFT calculation with PBE-GGA was carried out for ZrInOs after structural relaxation.

Energy of formation: -0.12 eV per atom

CIF file:
```
data_ZrInOs
_chemical_formula_sum 'Zr2 In2 Os2'
_cell_length_a 3.236
_cell_length_b 3.236
_cell_length_c 11.117
_cell_angle_alpha 90.00
_cell_angle_beta 90.00
_cell_angle_gamma 90.00
_space_group_name_H-M_alt 'I 4 m m'
_space_group_IT_number 107
_space_group_name_Hall 'I 4 -2'
loop_
_atom_site_label
_atom_site_type_symbol
_atom_site_fract_x
_atom_site_fract_y
_atom_site_fract_z
_atom_site_occupancy
Zr1 Zr 0.000 0.000 0.000 1
In1 In 0.000 0.000 0.296 1
Os1 Os 0.000 0.000 0.641 1
```

A plane-wave DFT calculation with PBE-GGA was carried out for Dy4TlAu after structural relaxation.

Energy of formation: -0.21 eV per atom

CIF file:
```
data_Dy4TlAu
_chemical_formula_sum 'Dy8 Tl2 Au2'
_cell_length_a 7.521
_cell_length_b 7.163
_cell_length_c 7.081
_cell_angle_alpha 90.00
_cell_angle_beta 90.78
_cell_angle_gamma 90.00
_space_group_name_H-M_alt 'P 1 21/c 1'
_space_group_IT_number 14
_space_group_name_Hall '-P 2ybc'
loop_
_atom_site_label
_atom_site_type_symbol
_atom_site_fract_x
_atom_site_fract_y
_atom_site_fract_z
_atom_site_occupancy
Dy1 Dy 0.147 0.158 0.165 1
Dy2 Dy 0.327 0.645 0.136 1
Tl1 Tl 0.500 0.000 0.000 1
Au1 Au 0.000 0.000 0.500 1
```

A plane-wave DFT calculation with PBE-GGA was carried out for TaNiB3 after structural relaxation.

Energy of formation: 1.76 eV per atom

CIF file:
```
data_TaNiB3
_chemical_formula_sum 'Ta1 Ni1 B3'
_cell_length_a 4.205
_cell_length_b 4.205
_cell_length_c 4.205
_cell_angle_alpha 90.00
_cell_angle_beta 90.00
_cell_angle_gamma 90.00
_space_group_name_H-M_alt 'P m -3 m'
_space_group_IT_number 221
_space_group_name_Hall '-P 4 2 3'
loop_
_atom_site_label
_atom_site_type_symbol
_atom_site_fract_x
_atom_site_fract_y
_atom_site_fract_z
_atom_site_occupancy
Ta1 Ta 0.000 0.000 0.000 1
Ni1 Ni 0.500 0.500 0.500 1
B1 B 0.000 0.000 0.500 1
```

A plane-wave DFT calculation with PBE-GGA was carried out for Tb5AlCd2 after structural relaxation.

Energy of formation: -0.24 eV per atom

CIF file:
```
data_Tb5AlCd2
_chemical_formula_sum 'Tb10 Al2 Cd4'
_cell_length_a 6.584
_cell_length_b 12.728
_cell_length_c 5.249
_cell_angle_alpha 90.00
_cell_angle_beta 90.00
_cell_angle_gamma 90.00
_space_group_name_H-M_alt 'P b a m'
_space_group_IT_number 55
_space_group_name_Hall '-P 2 2ab'
loop_
_atom_site_label
_atom_site_type_symbol
_atom_site_fract_x
_atom_site_fract_y
_atom_site_fract_z
_atom_site_occupancy
Tb1 Tb 0.000 0.000 0.000 1
Tb2 Tb 0.148 0.392 0.500 1
Tb3 Tb 0.154 0.723 0.000 1
Al1 Al 0.000 0.500 0.000 1
Cd1 Cd 0.124 0.136 0.500 1
```

Number 1: VASP energy -5.868 eV/atom, theoretical density 15.43 g cm⁻³. Number 2: VASP energy -3.492 eV/atom, theoretical density 3.50 g cm⁻³. Number 3: VASP energy -5.046 eV/atom, theoretical density 8.74 g cm⁻³. Number 4: VASP energy -6.245 eV/atom, theoretical density 5.32 g cm⁻³. Number 5: VASP energy -5.952 eV/atom, theoretical density 9.76 g cm⁻³. Number 6: VASP energy -5.467 eV/atom, theoretical density 7.62 g cm⁻³. Number 7: VASP energy -9.048 eV/atom, theoretical density 12.19 g cm⁻³. Number 8: VASP energy -5.852 eV/atom, theoretical density 3.12 g cm⁻³. Number 9: VASP energy -6.057 eV/atom, theoretical density 11.27 g cm⁻³. Number 10: VASP energy -5.787 eV/atom, theoretical density 7.64 g cm⁻³. Number 11: VASP energy -6.606 eV/atom, theoretical density 8.42 g cm⁻³. Number 12: VASP energy -2.850 eV/atom, theoretical density 2.72 g cm⁻³. Number 13: VASP energy -4.311 eV/atom, theoretical density 6.29 g cm⁻³. Number 14: VASP energy -5.290 eV/atom, theoretical density 6.55 g cm⁻³. Number 15: VASP energy -3.487 eV/atom, theoretical density 11.15 g cm⁻³. Number 16: VASP energy -8.477 eV/atom, theoretical density 7.59 g cm⁻³. Number 17: VASP energy -7.621 eV/atom, theoretical density 11.30 g cm⁻³. Number 18: VASP energy -4.215 eV/atom, theoretical density 9.15 g cm⁻³. Number 19: VASP energy -5.778 eV/atom, theoretical density 6.08 g cm⁻³. Number 20: VASP energy -3.826 eV/atom, theoretical density 7.90 g cm⁻³.